(1)
# Ca2IrW

Ca2IrW at its PBEsol-relaxed geometry (SCAN, Alexandria).

Results
Its density of states at the Fermi level is 0.78 states/eV per atom. The value obtained for the total energy is -39.39 eV per atom. The value obtained for the relative energy among the computed polymorphs is 73 meV per atom.

Cell lengths 3.132, 4.751, 4.971 Å; angles 90.00, 90.00, 90.00 degrees
Fractional positions:
W: 0.000 0.500 0.500
Ca: 0.500 0.500 0.000
Ca: 0.000 0.000 0.000
Ir: 0.500 0.000 0.500



(2)
# CaYIr2

CaYIr2 at its PBEsol-relaxed geometry (SCAN, Alexandria).

Results
Its density of states at the Fermi level is 0.91 states/eV per atom. The value obtained for the total energy is -45.03 eV per atom.

Cell lengths 3.455, 3.455, 7.891 Å; angles 90.00, 90.00, 90.00 degrees
Last column: magnetic moment on the atom in μB.
Fractional positions:
Ir: 0.500 0.500 0.186  0.43
Ca: 0.500 0.500 0.819  0.01
Y: 0.000 0.000 0.416  -0.01
Ir: 0.000 0.000 0.079  0.49



(3)
# CaYIr4

CaYIr4 at its PBEsol-relaxed geometry (SCAN, Alexandria).

Results
Its density of states at the Fermi level is 1.03 states/eV per atom. The value obtained for the total energy is -54.45 eV per atom.

Cell lengths 5.295, 5.295, 5.295 Å; angles 60.00, 60.00, 60.00 degrees
Fractional positions:
Ir: 0.875 0.375 0.375
Ca: 0.000 0.000 0.000
Ir: 0.375 0.375 0.375
Ir: 0.375 0.375 0.875
Y: 0.750 0.750 0.750
Ir: 0.375 0.875 0.375



no.,V (Å³/cell),formation energy (eV/atom)
1,74.0,0.6420
2,94.2,-0.0996
3,105.0,-0.8009